A relaxed structure of Li2ScSi. Source: the Alexandria database, functional GGA-PBE.

For the total energy, the calculation gives -3.982 eV per atom. The value obtained for the uncorrected formation energy is -87 meV per atom.

The space group is Cm (No. 8) and the conventional cell measures 8.3679, 3.0891 and 5.8166 Å, with angles of 90.00, 98.74 and 90.00 degrees. The distinct sites, in fractional coordinates, are Li at (0.0000, 0.0000, 0.0000), Li at (0.2473, 0.0000, 0.8042), Sc at (0.4728, 0.0000, 0.4412) and Si at (0.2326, 0.5000, 0.2078).